# 1
A relaxed CePrEr2 crystal, computed with PBE.

Geometry as CIF:
```
data_CePrEr2
_symmetry_space_group_name_H-M 'R -3 m'
_symmetry_Int_Tables_number 166
_symmetry_space_group_name_Hall '-R 3 2"'
_cell_length_a 3.4509
_cell_length_b 3.4509
_cell_length_c 36.8179
_cell_angle_alpha 90.00
_cell_angle_beta 90.00
_cell_angle_gamma 120.00
loop_
_atom_site_label
_atom_site_type_symbol
_atom_site_fract_x
_atom_site_fract_y
_atom_site_fract_z
_atom_site_occupancy
Ce1 Ce 0.0000 0.0000 0.0000 1
Pr1 Pr 0.0000 0.0000 0.5000 1
Er1 Er 0.0000 0.0000 0.4079 1
```

The value obtained for the energy above the most stable polymorph in this dataset is 0.456 eV per formula unit.

=====

# 2
A relaxed VIr3W crystal, computed with PBE.

Geometry as CIF:
```
data_VIr3W
_symmetry_space_group_name_H-M 'P m m n'
_symmetry_Int_Tables_number 59
_cell_length_a 4.216
_cell_length_b 5.379
_cell_length_c 6.984
_cell_angle_alpha 90.00
_cell_angle_beta 90.00
_cell_angle_gamma 90.00
loop_
_symmetry_equiv_pos_as_xyz
'x,y,z'
'-x,-y,-z'
'-x+1/2,-y+1/2,z'
'x+1/2,y+1/2,-z'
'x+1/2,-y,-z'
'-x+1/2,y,z'
'-x,y+1/2,-z'
'x,-y+1/2,z'
loop_
_atom_site_label
_atom_site_type_symbol
_atom_site_fract_x
_atom_site_fract_y
_atom_site_fract_z
_atom_site_occupancy
V1 V 0.250 0.250 0.055 1
Ir1 Ir 0.250 0.250 0.424 1
Ir2 Ir 0.250 0.511 0.761 1
W1 W 0.250 0.750 0.340 1
```

The value obtained for the energy above the most stable polymorph in this dataset is 1.539 eV per formula unit.

=====

# 3
A relaxed TaInRu2 crystal, computed with PBE.

Geometry as CIF:
```
data_TaInRu2
_symmetry_space_group_name_H-M 'P 4/m m m'
_symmetry_Int_Tables_number 123
_symmetry_space_group_name_Hall '-P 4 2'
_cell_length_a 4.459
_cell_length_b 4.459
_cell_length_c 3.263
_cell_angle_alpha 90.00
_cell_angle_beta 90.00
_cell_angle_gamma 90.00
loop_
_atom_site_label
_atom_site_type_symbol
_atom_site_fract_x
_atom_site_fract_y
_atom_site_fract_z
_atom_site_occupancy
Ta1 Ta 0.000 0.000 0.000 1
In1 In 0.500 0.500 0.000 1
Ru1 Ru 0.000 0.500 0.500 1
```

=====

# 4
A relaxed ErHfRe crystal, computed with PBE.

Geometry as CIF:
```
data_ErHfRe
_symmetry_space_group_name_H-M 'F d d d'
_symmetry_Int_Tables_number 70
_cell_length_a 5.235
_cell_length_b 10.075
_cell_length_c 20.091
_cell_angle_alpha 90.00
_cell_angle_beta 90.00
_cell_angle_gamma 90.00
loop_
_symmetry_equiv_pos_as_xyz
'x,y,z'
'-x,-y,-z'
'-x+1/4,-y+1/4,z'
'x+1/4,y+1/4,-z'
'x,-y+1/4,-z+1/4'
'-x,y+1/4,z+1/4'
'-x+1/4,y,-z+1/4'
'x+1/4,-y,z+1/4'
'x,y+1/2,z+1/2'
'-x,-y+1/2,-z+1/2'
'-x+1/4,-y+3/4,z+1/2'
'x+1/4,y+3/4,-z+1/2'
'x,-y+3/4,-z+3/4'
'-x,y+3/4,z+3/4'
'-x+1/4,y+1/2,-z+3/4'
'x+1/4,-y+1/2,z+3/4'
'x+1/2,y,z+1/2'
'-x+1/2,-y,-z+1/2'
'-x+3/4,-y+1/4,z+1/2'
'x+3/4,y+1/4,-z+1/2'
'x+1/2,-y+1/4,-z+3/4'
'-x+1/2,y+1/4,z+3/4'
'-x+3/4,y,-z+3/4'
'x+3/4,-y,z+3/4'
'x+1/2,y+1/2,z'
'-x+1/2,-y+1/2,-z'
'-x+3/4,-y+3/4,z'
'x+3/4,y+3/4,-z'
'x+1/2,-y+3/4,-z+1/4'
'-x+1/2,y+3/4,z+1/4'
'-x+3/4,y+1/2,-z+1/4'
'x+3/4,-y+1/2,z+1/4'
loop_
_atom_site_label
_atom_site_type_symbol
_atom_site_fract_x
_atom_site_fract_y
_atom_site_fract_z
_atom_site_occupancy
Er1 Er 0.125 0.283 0.125 1
Hf1 Hf 0.125 0.125 0.538 1
Re1 Re 0.125 0.125 0.000 1
```

The value obtained for the energy above the most stable polymorph in this dataset is 0.094 eV per formula unit.

=====

# 5
A relaxed Dy5Tl2Ir crystal, computed with PBE.

Geometry as CIF:
```
data_Dy5Tl2Ir
_symmetry_space_group_name_H-M 'C m c m'
_symmetry_Int_Tables_number 63
_symmetry_space_group_name_Hall '-C 2c 2'
_cell_length_a 5.476
_cell_length_b 16.537
_cell_length_c 12.446
_cell_angle_alpha 90.00
_cell_angle_beta 90.00
_cell_angle_gamma 90.00
loop_
_atom_site_label
_atom_site_type_symbol
_atom_site_fract_x
_atom_site_fract_y
_atom_site_fract_z
_atom_site_occupancy
Dy1 Dy 0.000 0.075 0.102 1
Dy2 Dy 0.000 0.293 0.750 1
Dy3 Dy 0.000 0.297 0.074 1
Tl1 Tl 0.000 0.116 0.631 1
Ir1 Ir 0.000 0.193 0.250 1
```

The value obtained for the energy above the most stable polymorph in this dataset is 2.983 eV per formula unit.

=====

# 6
A relaxed CaTcRu2 crystal, computed with PBE.

Geometry as CIF:
```
data_CaTcRu2
_symmetry_space_group_name_H-M 'P m m m'
_symmetry_Int_Tables_number 47
_symmetry_space_group_name_Hall '-P 2 2'
_cell_length_a 2.978
_cell_length_b 4.559
_cell_length_c 4.764
_cell_angle_alpha 90.00
_cell_angle_beta 90.00
_cell_angle_gamma 90.00
loop_
_atom_site_label
_atom_site_type_symbol
_atom_site_fract_x
_atom_site_fract_y
_atom_site_fract_z
_atom_site_occupancy
Ca1 Ca 0.000 0.000 0.000 1
Tc1 Tc 0.500 0.000 0.500 1
Ru1 Ru 0.000 0.500 0.500 1
Ru2 Ru 0.500 0.500 0.000 1
```

The value obtained for the energy above the most stable polymorph in this dataset is 1.343 eV per formula unit.

=====

# 7
A relaxed Be2InNi crystal, computed with PBE.

Geometry as CIF:
```
data_Be2InNi
_symmetry_space_group_name_H-M 'I -4 m 2'
_symmetry_Int_Tables_number 119
_symmetry_space_group_name_Hall 'I -4 -2'
_cell_length_a 3.630
_cell_length_b 3.630
_cell_length_c 7.424
_cell_angle_alpha 90.00
_cell_angle_beta 90.00
_cell_angle_gamma 90.00
loop_
_atom_site_label
_atom_site_type_symbol
_atom_site_fract_x
_atom_site_fract_y
_atom_site_fract_z
_atom_site_occupancy
Be1 Be 0.000 0.000 0.000 1
Be2 Be 0.000 0.500 0.250 1
In1 In 0.000 0.500 0.750 1
Ni1 Ni 0.000 0.000 0.500 1
```

The value obtained for the energy above the most stable polymorph in this dataset is 0.314 eV per formula unit.

=====

# 8
A relaxed Ce2Ru2Rh crystal, computed with PBE.

Geometry as CIF:
```
data_Ce2Ru2Rh
_symmetry_space_group_name_H-M 'C 1 2/c 1'
_symmetry_Int_Tables_number 15
_symmetry_space_group_name_Hall '-C 2yc'
_cell_length_a 9.471
_cell_length_b 6.582
_cell_length_c 7.564
_cell_angle_alpha 90.00
_cell_angle_beta 122.35
_cell_angle_gamma 90.00
loop_
_atom_site_label
_atom_site_type_symbol
_atom_site_fract_x
_atom_site_fract_y
_atom_site_fract_z
_atom_site_occupancy
Ce1 Ce 0.234 0.016 0.355 1
Ru1 Ru 0.024 0.199 0.585 1
Rh1 Rh 0.000 0.421 0.250 1
```

=====

Across the entries above, density takes the values 8.076; 17.014; 12.744; 13.337; 8.330; 8.736; 6.503; 9.758 Mg/m³, respectively.
Across the entries above, energy takes the values -4.7883; -9.7689; -8.5378; -9.0252; -4.6771; -7.1068; -3.8649; -8.0136 eV per atom, respectively.
Across the entries above, formation enthalpy at 0 K takes the values 0.171; -0.038; -0.252; -0.037; -0.102; 0.623; 0.128; -0.459 eV per atom, respectively.